Record 1
VASP calculation (PBE-GGA) on crystalline Zn4FeBr at its relaxed geometry.

Summary:
**Density**: 6.4 g/cm3
**Calculated volume**: 103 Å³/cell
**Raw formation energy**: 42.6 kJ per mole of atoms
**Magnetization**: 2.782 μB per formula unit
**DFT total energy**: -2.097 eV per atom

Lattice parameters (Å, degrees): 5.268 5.268 5.268 60.00 60.00 60.00
Last column: magnetic moment on the atom in μB.
Positions (direct):
Zn1 0.627 0.627 0.120  -0.04
Zn2 0.627 0.120 0.627  -0.04
Zn3 0.627 0.627 0.627  -0.04
Zn4 0.120 0.627 0.627  -0.04
Fe1 0.000 0.000 0.000  3.01
Br1 0.250 0.250 0.250  0.01


Record 2
VASP calculation (PBE-GGA) on crystalline TbNd4Ho3 at its relaxed geometry.

Summary:
**Relative energy among the computed polymorphs**: 0.0 meV per atom
**ΔH_f (0 K)**: 0.03 eV per atom
**Density**: 7.6 g/cm3
**Calculated volume**: 537 Å³/cell
**Magnetization**: 0.000 μB per formula unit
**DFT total energy**: -4.651 eV per atom

Lattice parameters (Å, degrees): 6.317 7.329 11.592 90.00 90.00 90.00
Positions (direct):
Tb1 0.149 0.378 0.000
Tb2 0.649 0.622 0.500
Nd1 0.144 0.872 0.000
Nd2 0.649 0.129 0.000
Nd3 0.982 0.128 0.252
Nd4 0.482 0.872 0.248
Nd5 0.149 0.871 0.500
Nd6 0.644 0.128 0.500
Nd7 0.482 0.872 0.752
Nd8 0.982 0.128 0.748
Ho1 0.647 0.620 0.000
Ho2 0.981 0.621 0.250
Ho3 0.481 0.379 0.250
Ho4 0.147 0.380 0.500
Ho5 0.481 0.379 0.750
Ho6 0.981 0.621 0.750


Record 3
VASP calculation (PBE-GGA) on crystalline LaSe2Br at its relaxed geometry.

Summary:
**Relative energy among the computed polymorphs**: 0.0 meV per atom
**Density**: 5.2 g/cm3
**Calculated volume**: 119 Å³/cell
**Raw formation energy**: -135.6 kJ per mole of atoms
**Magnetization**: 0.000 μB per formula unit
**DFT total energy**: -4.798 eV per atom

Lattice parameters (Å, degrees): 5.873 5.873 5.295 78.87 78.87 41.91
Positions (direct):
Br1 0.446 0.446 0.588
La1 0.729 0.729 0.677
Se1 0.079 0.079 0.004
Se2 0.247 0.247 0.231


Record 4
VASP calculation (PBE-GGA) on crystalline Ba3HfCu at its relaxed geometry.

Summary:
**Relative energy among the computed polymorphs**: 0.0 meV per atom
**ΔH_f (0 K)**: 0.72 eV per atom
**Density**: 4.8 g/cm3
**Calculated volume**: 226 Å³/cell
**Magnetization**: 2.240 μB per formula unit
**DFT total energy**: -3.239 eV per atom

Lattice parameters (Å, degrees): 6.095 6.095 6.095 90.00 90.00 90.00
Last column: magnetic moment on the atom in μB.
Positions (direct):
Hf1 0.500 0.500 0.500  1.02
Ba1 0.000 0.500 0.000  0.03
Ba2 0.000 0.000 0.500  0.04
Ba3 0.500 0.000 0.000  0.06
Cu1 0.000 0.000 0.000  0.01


Record 5
VASP calculation (PBE-GGA) on crystalline Mg8Pt2Au at its relaxed geometry.

Summary:
**Relative energy among the computed polymorphs**: 4.2 meV per atom
**ΔH_f (0 K)**: -0.55 eV per atom
**Density**: 6.3 g/cm3
**Calculated volume**: 207 Å³/cell
**Magnetization**: 0.000 μB per formula unit
**DFT total energy**: -3.103 eV per atom

Lattice parameters (Å, degrees): 4.427 7.346 7.687 118.54 106.73 90.00
Positions (direct):
Mg1 0.660 0.878 0.320
Mg2 0.340 0.558 0.680
Mg3 0.149 0.149 0.298
Mg4 0.000 0.310 0.000
Mg5 0.851 0.851 0.702
Mg6 0.660 0.442 0.320
Mg7 0.340 0.122 0.680
Mg8 0.000 0.690 0.000
Pt1 0.190 0.690 0.379
Pt2 0.810 0.310 0.621
Au1 0.500 0.000 0.000


Record 6
VASP calculation (PBE-GGA) on crystalline La4ErTm3Se8 at its relaxed geometry.

Summary:
**Density**: 7.6 g/cm3
**Calculated volume**: 409 Å³/cell
**Raw formation energy**: -178.0 kJ per mole of atoms
**Magnetization**: 0.001 μB per formula unit
**DFT total energy**: -5.942 eV per atom

Lattice parameters (Å, degrees): 8.206 8.468 8.207 118.98 120.00 90.00
Positions (direct):
La1 0.500 0.000 0.000
La2 0.500 0.000 0.500
La3 0.000 0.000 0.000
La4 0.000 0.000 0.500
Er1 0.000 0.500 0.000
Tm1 0.500 0.500 0.000
Tm2 0.500 0.500 0.500
Tm3 0.000 0.500 0.500
Se1 0.242 0.725 0.983
Se2 0.242 0.725 0.484
Se3 0.259 0.276 0.517
Se4 0.741 0.725 0.983
Se5 0.259 0.275 0.017
Se6 0.741 0.724 0.483
Se7 0.758 0.275 0.516
Se8 0.758 0.275 0.017